First-principles (GGA-PBE) data for CdFeHgTe2 after structural relaxation, as listed in Alexandria.

VASP energy = -14.863 eV for the cell shown
Symmetry = P4/mmm (123)
Formation energy from raw total energies = 5.1 kcal/mol of atoms

Cell lengths 5.077, 5.077, 5.277 Å; angles 90.00, 90.00, 90.00 degrees
Fractional positions:
1 Cd 0.000 0.000 0.000
2 Fe 0.000 0.000 0.500
3 Hg 0.500 0.500 0.000
4 Te 0.000 0.500 0.500
5 Te 0.500 0.000 0.500

***

First-principles (GGA-PBE) data for Th2CdFeHg after structural relaxation, as listed in Alexandria.

VASP energy = -49.643 eV for the cell shown
Symmetry = P2_1/m (11)
ΔE_f = -60 meV/atom

Cell lengths 8.308, 3.775, 8.578 Å; angles 90.00, 90.59, 90.00 degrees
Fractional positions:
1 Th 0.105 0.250 0.149
2 Th 0.188 0.250 0.557
3 Th 0.812 0.750 0.443
4 Th 0.895 0.750 0.851
5 Cd 0.321 0.750 0.881
6 Cd 0.679 0.250 0.119
7 Fe 0.142 0.750 0.341
8 Fe 0.858 0.250 0.659
9 Hg 0.446 0.750 0.269
10 Hg 0.554 0.250 0.731

***

| no. | N(E_F) (states/eV per atom) |
| --- | --- |
| 1 | 0.573 |
| 2 | 0.772 |